UMnCr2O8 (GGA+U, optimized geometry); E = -8.244 eV per atom; magnetization = 0.25 μB per atom
1.0
-2.1179 -2.5558 3.2615
1.1647 -3.8389 -2.3562
5.3721 -0.3453 3.2180
Cr O U Mn
2 8 1 1
Direct
0.5000 0.5000 0.7340
0.5000 0.5000 0.2660
0.8069 0.1935 0.2662
0.2976 0.2972 0.5000
0.8069 0.1935 0.7338
0.6872 0.6876 0.0000
0.1931 0.8065 0.7338
0.3128 0.3124 0.0000
0.7024 0.7028 0.5000
0.1931 0.8065 0.2662
0.0000 0.0000 0.0000
0.0000 0.0000 0.5000